First-principles (meta-GGA SCAN) data for a crystal of CuTcSb2 relaxed with PBEsol, as listed in Alexandria.

abc: 3.2759 3.2759 23.4780
angles: 90.00 90.00 120.00
Space group R-3m (No. 166, hexagonal axes)
Symmetry-distinct sites (fractional):
Cu 0.0000 0.0000 0.0000 (multiplicity 3)
Tc 0.0000 0.0000 0.5000 (multiplicity 3)
Sb 0.0000 0.0000 0.2492 (multiplicity 6)

Computed properties:
Calculated volume   218.2 Å³/cell
Fermi-level density of states   5.7 states/eV per cell
Formation energy without anion corrections   0.1814 eV/atom
M_tot   0.0000 μB per atom
Uncorrected energy   -31.014 eV per atom
Density   9.25 Mg/m³
Relative energy among the computed polymorphs   0.000 eV/atom

***

First-principles (meta-GGA SCAN) data for a crystal of RbHNO2 relaxed with PBEsol, as listed in Alexandria.

abc: 4.8506 4.8506 2.7736
angles: 90.00 90.00 90.00
Space group P4/mmm (No. 123)
Symmetry-distinct sites (fractional):
Rb 0.0000 0.0000 0.0000 (multiplicity 1)
H 0.5000 0.5000 0.5000 (multiplicity 1)
N 0.5000 0.5000 0.0000 (multiplicity 1)
O 0.0000 0.5000 0.5000 (multiplicity 2)

Computed properties:
Calculated volume   65.3 Å³/cell
Fermi-level density of states   2.1 states/eV per cell
M_tot   1.0000 μB per atom
Uncorrected energy   -8.262 eV per atom
Density   3.37 Mg/m³

***

First-principles (meta-GGA SCAN) data for a crystal of La2ScCrMo relaxed with PBEsol, as listed in Alexandria.

abc: 5.4278 5.4278 4.6371
angles: 90.00 90.00 90.00
Space group P4/mmm (No. 123)
Symmetry-distinct sites (fractional):
La 0.0000 0.5000 0.0000 (multiplicity 2)
Sc 0.0000 0.0000 0.5000 (multiplicity 1)
Cr 0.5000 0.5000 0.5000 (multiplicity 1)
Mo 0.5000 0.5000 0.0000 (multiplicity 1)

Computed properties:
Calculated volume   136.6 Å³/cell
Fermi-level density of states   4.8 states/eV per cell
M_tot   0.3754 μB per atom
Uncorrected energy   -30.110 eV per atom
Density   5.72 Mg/m³
ΔE_f   0.63 eV/atom

***

First-principles (meta-GGA SCAN) data for a crystal of ReHgSe relaxed with PBEsol, as listed in Alexandria.

abc: 3.0958 3.0958 6.7152
angles: 90.00 90.00 120.00
Space group P3m1 (No. 156)
Symmetry-distinct sites (fractional):
Re 0.0000 0.0000 0.0000 (multiplicity 1)
Hg 0.6667 0.3333 0.3400 (multiplicity 1)
Se 0.3333 0.6667 0.7545 (multiplicity 1)

Computed properties:
Calculated volume   55.7 Å³/cell
Fermi-level density of states   1.9 states/eV per cell
Formation energy without anion corrections   0.3465 eV/atom
M_tot   0.0000 μB per atom
Uncorrected energy   -52.767 eV per atom
Density   13.88 Mg/m³
Relative energy among the computed polymorphs   0.000 eV/atom

***

First-principles (meta-GGA SCAN) data for a crystal of MgSc2Tl2 relaxed with PBEsol, as listed in Alexandria.

abc: 7.5889 7.5889 4.0179
angles: 90.00 90.00 90.00
Space group P4/mbm (No. 127)
Symmetry-distinct sites (fractional):
Mg 0.0000 0.0000 0.0000 (multiplicity 2)
Sc 0.1677 0.3323 0.5000 (multiplicity 4)
Tl 0.1370 0.6370 0.0000 (multiplicity 4)

Computed properties:
Calculated volume   231.4 Å³/cell
Fermi-level density of states   6.7 states/eV per cell
M_tot   0.0066 μB per atom
Uncorrected energy   -36.058 eV per atom
Density   7.51 Mg/m³
ΔE_f   -0.42 eV/atom

***

First-principles (meta-GGA SCAN) data for a crystal of Ti3P6WO24 relaxed with PBEsol, as listed in Alexandria.

abc: 8.5556 8.5556 21.9791
angles: 90.00 90.00 120.00
Space group R3 (No. 146, hexagonal axes)
Symmetry-distinct sites (fractional):
Ti 0.0000 0.0000 0.0000 (multiplicity 3)
Ti 0.0000 0.0000 0.2184 (multiplicity 3)
Ti 0.0000 0.0000 0.7176 (multiplicity 3)
P 0.0495 0.3821 0.2778 (multiplicity 9)
P 0.0568 0.6682 0.7750 (multiplicity 9)
W 0.0000 0.0000 0.5009 (multiplicity 3)
O 0.0181 0.1928 0.2670 (multiplicity 9)
O 0.0218 0.1905 0.5524 (multiplicity 9)
O 0.0372 0.8341 0.7653 (multiplicity 9)
O 0.0492 0.8444 0.0530 (multiplicity 9)
O 0.1617 0.6890 0.8329 (multiplicity 9)
O 0.1633 0.6887 0.1192 (multiplicity 9)
O 0.1746 0.4667 0.3317 (multiplicity 9)
O 0.1765 0.4619 0.6181 (multiplicity 9)

Computed properties:
Calculated volume   1393.3 Å³/cell
Fermi-level density of states   0.0 states/eV per cell
Formation energy without anion corrections   -2.6824 eV/atom
M_tot   0.0000 μB per atom
Uncorrected energy   -12.380 eV per atom
Density   3.21 Mg/m³

***

First-principles (meta-GGA SCAN) data for a crystal of K2Cr4O13 relaxed with PBEsol, as listed in Alexandria.

abc: 8.6988 7.5353 9.2936
angles: 90.00 93.33 90.00
Space group Pc (No. 7)
Symmetry-distinct sites (fractional):
K 0.0000 0.0961 0.0000 (multiplicity 2)
K 0.2466 0.3984 0.6372 (multiplicity 2)
Cr 0.2820 0.0710 0.2767 (multiplicity 2)
Cr 0.6128 0.3897 0.9915 (multiplicity 2)
Cr 0.6288 0.0759 0.2356 (multiplicity 2)
Cr 0.9374 0.4293 0.3693 (multiplicity 2)
O 0.0857 0.4412 0.8880 (multiplicity 2)
O 0.1429 0.0677 0.7424 (multiplicity 2)
O 0.2624 0.2403 0.1715 (multiplicity 2)
O 0.2844 0.1297 0.4428 (multiplicity 2)
O 0.4603 0.0412 0.7425 (multiplicity 2)
O 0.4630 0.3886 0.8856 (multiplicity 2)
O 0.5882 0.4709 0.6149 (multiplicity 2)
O 0.6317 0.2225 0.3572 (multiplicity 2)
O 0.6366 0.1761 0.0665 (multiplicity 2)
O 0.7713 0.0544 0.7621 (multiplicity 2)
O 0.7724 0.4349 0.9001 (multiplicity 2)
O 0.9228 0.3505 0.2080 (multiplicity 2)
O 0.9573 0.2712 0.4849 (multiplicity 2)

Computed properties:
Calculated volume   608.1 Å³/cell
Fermi-level density of states   0.0 states/eV per cell
Formation energy without anion corrections   -1.9032 eV/atom
M_tot   0.0059 μB per atom
Uncorrected energy   -10.914 eV per atom
Density   2.70 Mg/m³

***

First-principles (meta-GGA SCAN) data for a crystal of CaZr2Tc relaxed with PBEsol, as listed in Alexandria.

abc: 3.2413 3.2413 8.9227
angles: 90.00 90.00 90.00
Space group P4/mmm (No. 123)
Symmetry-distinct sites (fractional):
Ca 0.0000 0.0000 0.0000 (multiplicity 1)
Zr 0.5000 0.5000 0.3266 (multiplicity 2)
Tc 0.0000 0.0000 0.5000 (multiplicity 1)

Computed properties:
Calculated volume   93.7 Å³/cell
Fermi-level density of states   3.4 states/eV per cell
M_tot   0.0000 μB per atom
Uncorrected energy   -26.605 eV per atom
Density   5.68 Mg/m³
Relative energy among the computed polymorphs   0.000 eV/atom
ΔE_f   -0.07 eV/atom

***

First-principles (meta-GGA SCAN) data for a crystal of GdCu2Sn2 relaxed with PBEsol, as listed in Alexandria.

abc: 4.3382 4.3382 10.5742
angles: 90.00 90.00 90.00
Space group P4/nmm (No. 129, origin choice 2)
Symmetry-distinct sites (fractional):
Gd 0.2500 0.2500 0.2390 (multiplicity 2)
Cu 0.2500 0.2500 0.6382 (multiplicity 2)
Cu 0.2500 0.7500 0.0000 (multiplicity 2)
Sn 0.2500 0.2500 0.8714 (multiplicity 2)
Sn 0.2500 0.7500 0.5000 (multiplicity 2)

Computed properties:
Calculated volume   199.0 Å³/cell
Fermi-level density of states   3.7 states/eV per cell
M_tot   1.4440 μB per atom
Uncorrected energy   -32.616 eV per atom
Density   8.71 Mg/m³
ΔE_f   -0.40 eV/atom

***

First-principles (meta-GGA SCAN) data for a crystal of Re2TcSe relaxed with PBEsol, as listed in Alexandria.

abc: 9.6338 2.9241 4.3170
angles: 90.00 92.77 90.00
Space group C2/m (No. 12)
Symmetry-distinct sites (fractional):
Re 0.2192 0.0000 0.2276 (multiplicity 4)
Tc 0.0000 0.5000 0.0000 (multiplicity 2)
Se 0.0000 0.0000 0.5000 (multiplicity 2)

Computed properties:
Calculated volume   121.5 Å³/cell
Fermi-level density of states   5.7 states/eV per cell
Formation energy without anion corrections   0.3853 eV/atom
M_tot   0.0000 μB per atom
Uncorrected energy   -48.948 eV per atom
Density   15.02 Mg/m³

***

First-principles (meta-GGA SCAN) data for a crystal of TcAsW2 relaxed with PBEsol, as listed in Alexandria.

abc: 2.8450 2.8450 25.9797
angles: 90.00 90.00 120.00
Space group R-3m (No. 166, hexagonal axes)
Symmetry-distinct sites (fractional):
Tc 0.0000 0.0000 0.0000 (multiplicity 3)
As 0.0000 0.0000 0.5000 (multiplicity 3)
W 0.0000 0.0000 0.2502 (multiplicity 6)

Computed properties:
Calculated volume   182.1 Å³/cell
Fermi-level density of states   9.5 states/eV per cell
M_tot   0.0000 μB per atom
Uncorrected energy   -48.317 eV per atom
Density   14.79 Mg/m³
ΔE_f   0.34 eV/atom

***

First-principles (meta-GGA SCAN) data for a crystal of Ca2TaHg2 relaxed with PBEsol, as listed in Alexandria.

abc: 4.0356 4.0356 16.7764
angles: 90.00 90.00 90.00
Space group I4/mmm (No. 139)
Symmetry-distinct sites (fractional):
Ca 0.0000 0.0000 0.1011 (multiplicity 4)
Ta 0.0000 0.0000 0.5000 (multiplicity 2)
Hg 0.0000 0.5000 0.2500 (multiplicity 4)

Computed properties:
Calculated volume   273.2 Å³/cell
Fermi-level density of states   8.2 states/eV per cell
M_tot   0.6366 μB per atom
Uncorrected energy   -43.942 eV per atom
Density   8.05 Mg/m³
ΔE_f   0.51 eV/atom